Entry 1:
Compound: PrSb3Ru
Source: Alexandria via LeMat-Bulk
Functional: PBE-GGA
Structure: relaxed

## Properties
* formation energy without anion corrections: -0.5888 eV/atom
* ρ: 8.11 g/cm3

Unit cell a=13.021 b=6.254 c=6.110 alpha=90.00 beta=90.00 gamma=90.00
Space group Pbcm (No. 57)
One atom of each set of equivalent atoms:
Pr 0.195 0.001 0.250 (multiplicity 4)
Sb 0.002 0.250 0.000 (multiplicity 4)
Sb 0.284 0.512 0.250 (multiplicity 4)
Sb 0.442 0.599 0.750 (multiplicity 4)
Ru 0.402 0.250 0.000 (multiplicity 4)

Entry 2:
Compound: PrSc3Ru
Source: Alexandria via LeMat-Bulk
Functional: PBE-GGA
Structure: relaxed

## Properties
* energy of formation from the pure elements: -0.172 eV/atom
* ρ: 4.77 g/cm3

Unit cell a=5.081 b=5.081 c=5.081 alpha=90.00 beta=90.00 gamma=90.00
Space group Pm-3m (No. 221)
One atom of each set of equivalent atoms:
Pr 0.000 0.000 0.000 (multiplicity 1)
Sc 0.000 0.500 0.500 (multiplicity 3)
Ru 0.500 0.500 0.500 (multiplicity 1)

Entry 3:
Compound: PrScRu2
Source: Alexandria via LeMat-Bulk
Functional: PBE-GGA
Structure: relaxed

## Properties
* energy of formation from the pure elements: -0.217 eV/atom
* ρ: 8.38 g/cm3

Unit cell a=3.365 b=3.365 c=6.787 alpha=90.00 beta=90.00 gamma=90.00
Space group P4/mmm (No. 123)
One atom of each set of equivalent atoms:
Pr 0.000 0.000 0.000 (multiplicity 1)
Sc 0.000 0.000 0.500 (multiplicity 1)
Ru 0.500 0.500 0.273 (multiplicity 2)

Entry 4:
Compound: PrSc5Ru4
Source: Alexandria via LeMat-Bulk
Functional: PBE-GGA
Structure: relaxed

## Properties
* energy of formation from the pure elements: -0.454 eV/atom
* ρ: 6.65 g/cm3

Unit cell a=3.246 b=3.246 c=18.245 alpha=90.00 beta=90.00 gamma=90.00
Space group P4/mmm (No. 123)
One atom of each set of equivalent atoms:
Pr 0.000 0.000 0.000 (multiplicity 1)
Sc 0.500 0.500 0.155 (multiplicity 2)
Sc 0.500 0.500 0.327 (multiplicity 2)
Sc 0.500 0.500 0.500 (multiplicity 1)
Ru 0.000 0.000 0.234 (multiplicity 2)
Ru 0.000 0.000 0.412 (multiplicity 2)

Entry 5:
Compound: PrSc2Ru9
Source: Alexandria via LeMat-Bulk
Functional: PBE-GGA
Structure: relaxed

## Properties
* energy of formation from the pure elements: -0.122 eV/atom
* ρ: 9.30 g/cm3

Unit cell a=5.2484 b=5.2484 c=25.6160 alpha=90.00 beta=90.00 gamma=120.00
Space group R-3m (No. 166, hexagonal axes)
One atom of each set of equivalent atoms:
Pr 0.0000 0.0000 0.0000 (multiplicity 3)
Sc 0.0000 0.0000 0.1401 (multiplicity 6)
Ru 0.0000 0.0000 0.3393 (multiplicity 6)
Ru 0.0000 0.0000 0.5000 (multiplicity 3)
Ru 0.0141 0.5071 0.9142 (multiplicity 18)

Entry 6:
Compound: Pr2ScU2Ru5
Source: Alexandria via LeMat-Bulk
Functional: PBE-GGA
Structure: relaxed

## Properties
* energy of formation from the pure elements: -0.208 eV/atom
* ρ: 10.75 g/cm3

Unit cell a=11.005 b=11.005 c=3.339 alpha=90.00 beta=90.00 gamma=90.00
Space group P4/mbm (No. 127)
One atom of each set of equivalent atoms:
Pr 0.164 0.336 0.000 (multiplicity 4)
Sc 0.000 0.000 0.000 (multiplicity 2)
U 0.150 0.650 0.000 (multiplicity 4)
Ru 0.000 0.500 0.500 (multiplicity 2)
Ru 0.058 0.798 0.500 (multiplicity 8)

Among the records above, which one has the lowest ρ?
PrSc3Ru

Number 4 is which compound?
PrSc5Ru4